1.
# meta-GGA SCAN CoSb2Br2O3, PBEsol geometry
# Total magnetization   0.375 μB per atom
# Total energy   -19.823 eV/atom
data_CoSb2Br2O3
_symmetry_space_group_name_H-M 'P -1'
_symmetry_Int_Tables_number 2
_cell_length_a 5.187
_cell_length_b 7.981
_cell_length_c 8.093
_cell_angle_alpha 83.02
_cell_angle_beta 81.91
_cell_angle_gamma 82.52
loop_
_symmetry_equiv_pos_as_xyz
'x,y,z'
'-x,-y,-z'
loop_
_atom_site_label
_atom_site_fract_x
_atom_site_fract_y
_atom_site_fract_z
Co1 0.027 0.291 0.483
Sb1 0.404 0.953 0.697
Sb2 0.432 0.502 0.705
Br1 0.141 0.806 0.221
Br2 0.247 0.332 0.134
O1 0.262 0.470 0.485
O2 0.271 0.744 0.636
O3 0.281 0.089 0.483

---

2.
# meta-GGA SCAN Co5Se4Br2O12, PBEsol geometry
# Total magnetization   0.654 μB per atom
# Total energy   -13.187 eV/atom
data_Co5Se4Br2O12
_symmetry_space_group_name_H-M 'P -1'
_symmetry_Int_Tables_number 2
_cell_length_a 6.487
_cell_length_b 7.574
_cell_length_c 7.711
_cell_angle_alpha 66.35
_cell_angle_beta 72.37
_cell_angle_gamma 82.00
loop_
_symmetry_equiv_pos_as_xyz
'x,y,z'
'-x,-y,-z'
loop_
_atom_site_label
_atom_site_fract_x
_atom_site_fract_y
_atom_site_fract_z
Co1 0.000 0.000 0.000
Co2 0.118 0.696 0.433
Co3 0.333 0.885 0.639
Se1 0.205 0.170 0.213
Se2 0.345 0.313 0.683
Br1 0.195 0.662 0.018
O1 0.049 0.807 0.633
O2 0.163 0.415 0.539
O3 0.166 0.949 0.207
O4 0.264 0.075 0.780
O5 0.355 0.111 0.381
O6 0.418 0.695 0.493

---

Calculated energy relative to the elements, uncorrected in order - -1.143; -0.990 eV/atom